This record from the Alexandria database describes crystalline Y8Tl3Se3N at its relaxed geometry. The functional is PBE.

Cell and atoms, written as POSCAR:
```
Y8Tl3Se3N
1.0
-6.0520 4.1684 -2.8509
1.0523 -7.4750 -2.2675
-3.0933 1.1972 8.3172
Tl Se Y N
3 3 8 1
Direct
0.5000 0.5000 0.0000 Tl
0.0000 0.0000 0.0000 Tl
0.0000 0.5000 0.0000 Tl
0.5000 0.0000 0.5000 Se
0.5000 0.5000 0.5000 Se
0.0000 0.5000 0.5000 Se
0.7908 0.0171 0.3082 Y
0.7740 0.9829 0.6918 Y
0.7909 0.5819 0.3084 Y
0.2604 0.5209 0.2815 Y
0.2091 0.4181 0.6916 Y
0.7396 0.4791 0.7185 Y
0.2092 0.9829 0.6918 Y
0.2260 0.0171 0.3082 Y
0.0000 0.0000 0.5000 N
```

Results
Its calculated total energy is -92.6 eV for the cell shown. Its space group is R-3m. The crystal system is trigonal. The density of states at the Fermi level comes out at 7.34 states/eV/f.u.